1.
DFT (PBE) results for crystalline TlPtS2 at its relaxed geometry.

a = 7.7550 Å, b = 7.7550 Å, c = 7.7550 Å
α = 30.08°, β = 30.08°, γ = 30.08°
Fractional positions:
Tl 0.0000 0.0000 0.0000
Pt 0.5000 0.5000 0.5000
S 0.4011 0.4011 0.4011
S 0.5989 0.5989 0.5989

The formation energy without anion corrections is 0.183 eV/atom. The total DFT energy (no corrections) is -3.98 eV per atom. For the offset from the most stable computed form, the calculation gives 456.5 meV/atom. As for the space group: R-3m. The volume is 25.95 Å³ per atom. As for the density of states at the Fermi level: 4.92 states/eV/f.u.

***

2.
DFT (PBE) results for crystalline TlPt2S3 at its relaxed geometry.

a = 7.5276 Å, b = 7.5276 Å, c = 7.5276 Å
α = 56.92°, β = 56.92°, γ = 56.92°
Fractional positions:
Tl 0.2096 0.2096 0.2096
Tl 0.7904 0.7904 0.7904
Pt 0.0000 0.0000 0.0000
Pt 0.0000 0.5000 0.5000
Pt 0.5000 0.0000 0.5000
Pt 0.5000 0.5000 0.0000
S 0.2320 0.2320 0.7224
S 0.2320 0.7224 0.2320
S 0.2776 0.7680 0.7680
S 0.7224 0.2320 0.2320
S 0.7680 0.2776 0.7680
S 0.7680 0.7680 0.2776

The formation energy without anion corrections is -0.448 eV/atom. The total DFT energy (no corrections) is -4.92 eV per atom. As for the space group: R-3m. The volume is 23.35 Å³ per atom.

***

3.
DFT (PBE) results for crystalline U2Tl2PtS6 at its relaxed geometry.

a = 7.0667 Å, b = 7.0667 Å, c = 7.7327 Å
α = 95.65°, β = 95.65°, γ = 126.07°
Fractional positions:
U 0.1599 0.8401 0.0000
U 0.8401 0.1599 0.0000
Tl 0.3567 0.6433 0.5000
Tl 0.6433 0.3567 0.5000
Pt 0.5000 0.5000 0.0000
S 0.0467 0.4533 0.7876
S 0.2388 0.2388 0.1669
S 0.4533 0.0467 0.7876
S 0.5467 0.9533 0.2124
S 0.7612 0.7612 0.8331
S 0.9533 0.5467 0.2124

The formation energy without anion corrections is -0.841 eV/atom. The total DFT energy (no corrections) is -6.12 eV per atom. As for the space group: C2/m. The volume is 27.70 Å³ per atom. As for the density of states at the Fermi level: 11.20 states/eV/f.u.

***

4.
DFT (PBE) results for crystalline U3Tl3PtS8 at its relaxed geometry.

a = 7.6261 Å, b = 7.6261 Å, c = 8.8346 Å
α = 114.29°, β = 114.29°, γ = 61.83°
Fractional positions:
U 0.0000 0.0000 0.0000
U 0.0000 0.5000 0.0000
U 0.5000 0.0000 0.0000
Tl 0.0000 0.5000 0.5000
Tl 0.5000 0.0000 0.5000
Tl 0.5000 0.5000 0.5000
Pt 0.5000 0.5000 0.0000
S 0.2166 0.7409 0.2020
S 0.2348 0.2348 0.2027
S 0.2591 0.7834 0.7980
S 0.2889 0.2889 0.8196
S 0.7111 0.7111 0.1804
S 0.7409 0.2166 0.2020
S 0.7652 0.7652 0.7973
S 0.7834 0.2591 0.7980

The formation energy without anion corrections is -0.875 eV/atom. The total DFT energy (no corrections) is -6.21 eV per atom. As for the space group: C2/m. The volume is 26.50 Å³ per atom. As for the density of states at the Fermi level: 13.35 states/eV/f.u.

***

5.
DFT (PBE) results for crystalline UTl2Pt2S6 at its relaxed geometry.

a = 6.2070 Å, b = 6.2070 Å, c = 8.2124 Å
α = 97.01°, β = 97.01°, γ = 119.85°
Fractional positions:
U 0.0000 0.0000 0.0000
Tl 0.1625 0.8375 0.5000
Tl 0.8375 0.1625 0.5000
Pt 0.3324 0.6676 0.0000
Pt 0.6676 0.3324 0.0000
S 0.0564 0.4132 0.1838
S 0.2997 0.2997 0.8199
S 0.4132 0.0564 0.1838
S 0.5868 0.9436 0.8162
S 0.7003 0.7003 0.1801
S 0.9436 0.5868 0.8162

The formation energy without anion corrections is -0.579 eV/atom. The total DFT energy (no corrections) is -5.39 eV per atom. As for the space group: C2/m. The volume is 24.20 Å³ per atom. As for the density of states at the Fermi level: 8.41 states/eV/f.u.

***

6.
DFT (PBE) results for crystalline UTl2PtS4 at its relaxed geometry.

a = 6.3673 Å, b = 6.3673 Å, c = 6.3673 Å
α = 108.53°, β = 108.53°, γ = 111.37°
Fractional positions:
U 0.0000 0.0000 0.0000
Tl 0.2500 0.7500 0.5000
Tl 0.5000 0.5000 0.0000
Pt 0.7500 0.2500 0.5000
S 0.4336 0.3655 0.4305
S 0.6345 0.0650 0.0680
S 0.9350 0.0030 0.5695
S 0.9970 0.5664 0.9320

The formation energy without anion corrections is -0.515 eV/atom. The total DFT energy (no corrections) is -5.34 eV per atom. As for the space group: I-4. The volume is 24.82 Å³ per atom. As for the density of states at the Fermi level: 6.30 states/eV/f.u.

***

7.
DFT (PBE) results for crystalline Tm6PtS5 at its relaxed geometry.

a = 6.7538 Å, b = 6.7538 Å, c = 6.7239 Å
α = 99.69°, β = 99.69°, γ = 120.02°
Fractional positions:
Tm 0.0804 0.4152 0.2467
Tm 0.2502 0.2502 0.7491
Tm 0.4152 0.0804 0.2467
Tm 0.5848 0.9196 0.7533
Tm 0.7498 0.7498 0.2509
Tm 0.9196 0.5848 0.7533
Pt 0.0000 0.0000 0.0000
S 0.1709 0.8291 0.5000
S 0.3347 0.6653 0.0000
S 0.5000 0.5000 0.5000
S 0.6653 0.3347 0.0000
S 0.8291 0.1709 0.5000

The formation energy without anion corrections is -1.822 eV/atom. The total DFT energy (no corrections) is -6.28 eV per atom. As for the space group: C2/m. The volume is 20.84 Å³ per atom. As for the density of states at the Fermi level: 3.42 states/eV/f.u.

***

8.
DFT (PBE) results for crystalline TmPtS2 at its relaxed geometry.

a = 8.0631 Å, b = 8.0631 Å, c = 8.0631 Å
α = 26.23°, β = 26.23°, γ = 26.23°
Fractional positions:
Tm 0.0000 0.0000 0.0000
Pt 0.5000 0.5000 0.5000
S 0.1139 0.1139 0.1139
S 0.8861 0.8861 0.8861

The formation energy without anion corrections is -0.398 eV/atom. The total DFT energy (no corrections) is -5.09 eV per atom. As for the space group: R-3m. The volume is 22.56 Å³ per atom. As for the density of states at the Fermi level: 3.10 states/eV/f.u.

***

| no. | size of the total moment (μB per formula unit) |
| --- | --- |
| 1 | 0.00 |
| 2 | 0.00 |
| 3 | 1.98 |
| 4 | 6.33 |
| 5 | 1.32 |
| 6 | 1.97 |
| 7 | 0.00 |
| 8 | 0.00 |